(1)
Here is a geometry-optimized BaPr2InO5 structure from Alexandria via LeMat-Bulk. Energies are from PBE-GGA.

Calculated values
Fermi-level density of states, states/eV/f.u.: 3.4
Formation energy (no corrections), eV per atom: -2.478
Space group: No. 140
Size of the total moment, μB per formula unit: 0.00

```
BaPr2InO5
1.0
-3.4947 3.4947 6.2304
3.4947 -3.4947 6.2304
3.4947 3.4947 -6.2304
Ba Pr In O
2 4 2 10
direct
0.2500 0.2500 0.0000
0.7500 0.7500 0.0000
0.1734 0.6734 0.8469
0.3266 0.1734 0.5000
0.6734 0.8266 0.5000
0.8266 0.3266 0.1531
0.2500 0.7500 0.5000
0.7500 0.2500 0.5000
0.0000 0.0000 0.0000
0.0269 0.2288 0.5000
0.2288 0.7288 0.2019
0.2712 0.4731 0.5000
0.4731 0.9731 0.2019
0.5000 0.5000 0.0000
0.5269 0.0269 0.7981
0.7288 0.5269 0.5000
0.7712 0.2712 0.7981
0.9731 0.7712 0.5000
```

---

(2)
Here is a geometry-optimized Tm2ScOs structure from Alexandria via LeMat-Bulk. Energies are from PBE-GGA.

Calculated values
Fermi-level density of states, states/eV/f.u.: 3.7
Offset from the most stable computed form, meV/atom: 185.2
ΔE_f, eV per formula unit: -0.550
Space group: No. 123
Size of the total moment, μB per formula unit: 0.84

```
Tm2ScOs
1.0
3.3707 0.0000 0.0000
0.0000 3.3707 0.0000
0.0000 0.0000 8.4453
Tm Sc Os
2 1 1
direct
0.0000 0.0000 0.1930
0.0000 0.0000 0.8070
0.5000 0.5000 0.5000
0.5000 0.5000 0.0000
```

---

Q: Look up the size of the total moment of the second one.
A: 0.84 μB per formula unit

---

Q: The lowest Fermi-level density of states belongs to which entry?
A: BaPr2InO5